one | First-principles (SCAN) data for a crystal of CaCrNi2 relaxed with PBEsol, as listed in Alexandria via LeMat-Bulk.

Magnetic moment in μB per cell: 4.82

Cell lengths 2.898, 4.441, 5.342 Å; angles 114.56, 105.74, 90.00 degrees
Site moments in Bohr magnetons follow the coordinates.
Positions (direct):
Ni: 0.721 0.221 0.441  0.51
Ca: 0.490 0.490 0.980  -0.02
Cr: 0.280 0.780 0.560  3.57
Ni: 0.009 0.009 0.018  0.50

=====

two | First-principles (SCAN) data for a crystal of CaCrNi2 relaxed with PBEsol, as listed in Alexandria via LeMat-Bulk.

Magnetic moment in μB per cell: 4.36

Cell lengths 2.976, 4.410, 4.410 Å; angles 90.00, 90.00, 90.00 degrees
Site moments in Bohr magnetons follow the coordinates.
Positions (direct):
Ni: 0.000 0.000 0.500  0.57
Cr: 0.500 0.000 0.000  3.26
Ni: 0.000 0.500 0.000  0.57
Ca: 0.500 0.500 0.500  -0.09

=====

Stability ranking, top and bottom: two is the most stable and one is the least stable.

=====

one | First-principles (SCAN) data for a crystal of CaCr2Ni relaxed with PBEsol, as listed in Alexandria via LeMat-Bulk.

Magnetic moment in μB per cell: 0.00

Cell lengths 3.517, 3.517, 5.216 Å; angles 109.70, 109.70, 90.00 degrees
Positions (direct):
Cr: 0.250 0.750 0.500
Ni: 0.500 0.500 0.000
Cr: 0.750 0.250 0.500
Ca: 0.000 0.000 0.000

=====

two | First-principles (SCAN) data for a crystal of CaCr2Ni relaxed with PBEsol, as listed in Alexandria via LeMat-Bulk.

Magnetic moment in μB per cell: 1.88

Cell lengths 2.495, 4.781, 5.281 Å; angles 113.66, 97.93, 102.53 degrees
Site moments in Bohr magnetons follow the coordinates.
Positions (direct):
Cr: 0.500 0.500 0.500  0.76
Ca: 0.500 0.000 0.000  0.00
Ni: 0.000 0.500 0.000  0.30
Cr: 0.000 0.000 0.500  0.76

=====

Stability ranking, top and bottom: two is the most stable and one is the least stable.

=====

one | First-principles (SCAN) data for a crystal of CaCr2O4 relaxed with PBEsol, as listed in Alexandria via LeMat-Bulk.

Magnetic moment in μB per cell: 12.00

Cell lengths 6.113, 6.113, 6.113 Å; angles 60.00, 60.00, 60.00 degrees
Site moments in Bohr magnetons follow the coordinates.
Positions (direct):
O: 0.855 0.855 0.855  0.02
Cr: 0.625 0.625 0.125  2.86
O: 0.855 0.434 0.855  0.02
Cr: 0.125 0.625 0.625  2.86
Cr: 0.625 0.625 0.625  2.86
Ca: 0.250 0.250 0.250  0.01
O: 0.816 0.395 0.395  0.02
Ca: 0.000 0.000 0.000  0.01
O: 0.395 0.816 0.395  0.02
O: 0.855 0.855 0.434  0.02
O: 0.434 0.855 0.855  0.02
O: 0.395 0.395 0.395  0.02
Cr: 0.625 0.125 0.625  2.86
O: 0.395 0.395 0.816  0.02

=====

two | First-principles (SCAN) data for a crystal of CaCr2O4 relaxed with PBEsol, as listed in Alexandria via LeMat-Bulk.

Magnetic moment in μB per cell: 12.00

Cell lengths 2.986, 5.071, 9.843 Å; angles 90.00, 90.00, 107.13 degrees
Site moments in Bohr magnetons follow the coordinates.
Positions (direct):
O: 0.500 0.000 0.000  0.06
Ca: 0.611 0.223 0.250  0.01
O: 0.237 0.475 0.393  0.01
O: 0.058 0.117 0.750  0.07
Cr: 0.136 0.272 0.930  2.82
O: 0.500 0.000 0.500  0.06
Cr: 0.864 0.728 0.070  2.82
O: 0.237 0.475 0.107  0.01
O: 0.942 0.883 0.250  0.07
Ca: 0.389 0.777 0.750  0.01
Cr: 0.136 0.272 0.570  2.82
O: 0.763 0.525 0.607  0.01
O: 0.763 0.525 0.893  0.01
Cr: 0.864 0.728 0.430  2.82

=====

three | First-principles (SCAN) data for a crystal of CaCr2O4 relaxed with PBEsol, as listed in Alexandria via LeMat-Bulk.

Magnetic moment in μB per cell: 12.00

Cell lengths 5.912, 5.912, 6.475 Å; angles 62.84, 62.84, 60.00 degrees
Site moments in Bohr magnetons follow the coordinates.
Positions (direct):
Cr: 0.140 0.630 0.601  2.83
Ca: 0.983 0.983 0.052  0.02
O: 0.371 0.858 0.399  0.03
O: 0.371 0.371 0.399  0.03
O: 0.408 0.408 0.776  0.06
Cr: 0.149 0.149 0.553  2.83
O: 0.858 0.371 0.399  0.03
Cr: 0.630 0.140 0.601  2.83
O: 0.906 0.906 0.787  0.02
O: 0.906 0.402 0.787  0.02
Ca: 0.636 0.636 0.093  0.01
O: 0.855 0.855 0.435  0.04
O: 0.402 0.906 0.787  0.02
Cr: 0.630 0.630 0.601  2.83

=====

Stability ranking, top and bottom: two is the most stable and three is the least stable.

=====

one | First-principles (SCAN) data for a crystal of CaCrOs2 relaxed with PBEsol, as listed in Alexandria via LeMat-Bulk.

Magnetic moment in μB per cell: 0.01

Cell lengths 2.873, 2.873, 7.610 Å; angles 90.00, 90.00, 90.00 degrees
Positions (direct):
Ca: 0.500 0.500 0.000
Os: 0.000 0.000 0.696
Os: 0.000 0.000 0.304
Cr: 0.500 0.500 0.500

=====

two | First-principles (SCAN) data for a crystal of CaCrOs2 relaxed with PBEsol, as listed in Alexandria via LeMat-Bulk.

Magnetic moment in μB per cell: 0.00

Cell lengths 2.774, 2.774, 9.216 Å; angles 81.34, 81.34, 60.00 degrees
Positions (direct):
Os: 0.261 0.261 0.217
Ca: 0.500 0.500 0.500
Os: 0.739 0.739 0.783
Cr: 0.000 0.000 0.000

=====

Stability ranking, top and bottom: one is the most stable and two is the least stable.

=====

one | First-principles (SCAN) data for a crystal of CaCrRe relaxed with PBEsol, as listed in Alexandria via LeMat-Bulk.

Magnetic moment in μB per cell: 0.00

Cell lengths 2.635, 4.579, 4.579 Å; angles 120.00, 90.00, 90.00 degrees
Positions (direct):
Cr: 0.628 0.333 0.667
Re: 0.383 0.667 0.333
Ca: 0.988 0.000 0.000

=====

two | First-principles (SCAN) data for a crystal of CaCrRe relaxed with PBEsol, as listed in Alexandria via LeMat-Bulk.

Magnetic moment in μB per cell: 1.47

Cell lengths 4.552, 4.552, 4.552 Å; angles 60.00, 60.00, 60.00 degrees
Site moments in Bohr magnetons follow the coordinates.
Positions (direct):
Ca: 0.250 0.250 0.250  -0.03
Cr: 0.000 0.000 0.000  3.93
Re: 0.500 0.500 0.500  -2.35

=====

Stability ranking, top and bottom: one is the most stable and two is the least stable.

=====

one | First-principles (SCAN) data for a crystal of CaCrRh2 relaxed with PBEsol, as listed in Alexandria via LeMat-Bulk.

Magnetic moment in μB per cell: 3.07

Cell lengths 4.457, 4.446, 4.455 Å; angles 120.07, 90.00, 120.08 degrees
Site moments in Bohr magnetons follow the coordinates.
Positions (direct):
Cr: 0.500 0.000 0.000  3.10
Rh: 0.750 0.500 0.750  -0.08
Ca: 0.000 0.000 0.500  -0.02
Rh: 0.250 0.500 0.250  -0.08

=====

two | First-principles (SCAN) data for a crystal of CaCrRh2 relaxed with PBEsol, as listed in Alexandria via LeMat-Bulk.

Magnetic moment in μB per cell: 2.72

Cell lengths 3.218, 3.218, 6.566 Å; angles 90.00, 90.00, 90.00 degrees
Site moments in Bohr magnetons follow the coordinates.
Positions (direct):
Rh: 0.500 0.500 0.213  -0.13
Ca: 0.000 0.000 0.482  0.05
Rh: 0.000 0.000 0.966  -0.35
Cr: 0.500 0.500 0.839  2.77

=====

Stability ranking, top and bottom: one is the most stable and two is the least stable.